1.
A relaxed structure of Cs2KRhI6. Source: Alexandria, functional PBE.

Cell lengths 8.6098, 8.6098, 8.6100 Å; angles 60.00, 60.00, 90.00 degrees
Atoms (fractional coordinates):
1 Rh 0.0000 0.0000 0.0000
2 K 0.5000 0.5000 0.0000
3 I 0.7777 0.2223 0.0000
4 I 0.7777 0.7777 0.0000
5 I 0.2223 0.7777 0.0000
6 I 0.2223 0.2223 0.0000
7 I 0.2223 0.2223 0.5554
8 I 0.7777 0.7777 0.4446
9 Cs 0.2500 0.7500 0.5000
10 Cs 0.7500 0.2500 0.5000

total DFT energy (no corrections): -2.9082 eV/atom
D(E_F): 0.000 states/eV/atom
ΔE_f (raw): -962 meV/atom

2.
A relaxed structure of CsK2SI. Source: Alexandria, functional PBE.

Cell lengths 6.0289, 6.0289, 6.7741 Å; angles 90.00, 90.00, 90.00 degrees
Atoms (fractional coordinates):
1 I 0.5000 0.5000 0.5000
2 Cs 0.0000 0.0000 0.5000
3 K 0.0000 0.5000 0.0000
4 K 0.5000 0.0000 0.0000
5 S 0.0000 0.0000 0.0000

total DFT energy (no corrections): -2.9058 eV/atom
ΔE_f (raw): -1161 meV/atom

3.
A relaxed structure of Cs2KSI. Source: Alexandria, functional PBE.

Cell lengths 6.7421, 6.7421, 5.9843 Å; angles 90.00, 90.00, 90.00 degrees
Atoms (fractional coordinates):
1 K 0.0000 0.0000 0.5000
2 Cs 0.0000 0.5000 0.0000
3 Cs 0.5000 0.0000 0.0000
4 S 0.0000 0.0000 0.0000
5 I 0.5000 0.5000 0.5000

total DFT energy (no corrections): -2.8511 eV/atom
ΔE_f (raw): -1155 meV/atom

4.
A relaxed structure of CsKSbI2. Source: Alexandria, functional PBE.

Cell lengths 6.7231, 6.7231, 6.6333 Å; angles 90.00, 90.00, 90.00 degrees
Atoms (fractional coordinates):
1 I 0.5000 0.0000 0.0000
2 I 0.0000 0.5000 0.0000
3 K 0.0000 0.0000 0.0000
4 Cs 0.5000 0.5000 0.5000
5 Sb 0.0000 0.0000 0.5000

total DFT energy (no corrections): -2.3378 eV/atom
distance to the lowest polymorph of the same formula: 0 meV/atom
ΔE_f (raw): -503 meV/atom

5.
A relaxed structure of CsKSbI6. Source: Alexandria, functional PBE.

Cell lengths 8.6452, 8.6451, 8.0066 Å; angles 90.00, 90.00, 60.00 degrees
Atoms (fractional coordinates):
1 K 0.6666 0.6667 0.5000
2 I 0.3452 0.0507 0.7168
3 I 0.3452 0.6041 0.2832
4 I 0.6041 0.3452 0.7168
5 I 0.0506 0.6041 0.7168
6 I 0.6041 0.0506 0.2832
7 I 0.0506 0.3452 0.2832
8 Sb 0.3333 0.3333 0.5000
9 Cs 0.0000 0.0000 0.0000

total DFT energy (no corrections): -2.4560 eV/atom
D(E_F): 0.865 states/eV/atom
ΔE_f (raw): -748 meV/atom

6.
A relaxed structure of CsKSbI2. Source: Alexandria, functional PBE.

Cell lengths 7.2896, 7.2896, 7.1519 Å; angles 90.00, 90.00, 90.00 degrees
Atoms (fractional coordinates):
1 Sb 0.0000 0.0000 0.5000
2 K 0.5000 0.5000 0.5000
3 I 0.5000 0.0000 0.0000
4 I 0.0000 0.5000 0.0000
5 Cs 0.0000 0.0000 0.0000

total DFT energy (no corrections): -2.1508 eV/atom
D(E_F): 0.044 states/eV/atom
distance to the lowest polymorph of the same formula: 187 meV/atom
ΔE_f (raw): -316 meV/atom

Q: Which of these has the highest ΔE_f (raw)?
A: number 6